Record 1
Computed, not measured: a PBEsol-optimized structure of ScAg2Br at the meta-GGA SCAN level of DFT.

Summary:
uncorrected formation energy = -4.32 kcal/mol of atoms

Unit cell a=3.4063 b=5.1917 c=5.6075 alpha=117.58 beta=107.68 gamma=90.00
Fractional coordinates of all 4 atoms:
Ag1 0.2588 0.7588 0.5176
Ag2 0.0097 0.0097 0.0195
Sc1 0.7566 0.2566 0.5133
Br1 0.4748 0.4748 0.9497

---

Record 2
Computed, not measured: a PBEsol-optimized structure of Cr4NiOs at the meta-GGA SCAN level of DFT.

Summary:
E_form = 0.091 eV/atom

Unit cell a=4.6143 b=4.6143 c=4.6143 alpha=60.00 beta=60.00 gamma=60.00
Fractional coordinates of all 6 atoms:
Cr1 0.3770 0.8690 0.3770
Cr2 0.3770 0.3770 0.8690
Cr3 0.3770 0.3770 0.3770
Cr4 0.8690 0.3770 0.3770
Ni1 0.7500 0.7500 0.7500
Os1 0.0000 0.0000 0.0000

---

Record 3
Computed, not measured: a PBEsol-optimized structure of SrZrSi2 at the meta-GGA SCAN level of DFT.

Summary:
uncorrected formation energy = -0.23 kcal/mol of atoms

Unit cell a=3.3069 b=3.3069 c=7.9475 alpha=90.00 beta=90.00 gamma=90.02
Fractional coordinates of all 4 atoms:
Zr1 0.5000 0.5000 0.1649
Sr1 0.0000 0.0000 0.5476
Si1 0.5000 0.5000 0.8264
Si2 0.0000 0.0000 0.9612

---

no.,theoretical density (Mg/m³),size of the total moment (μB per cell)
1,6.8,0.00
2,10.9,0.00
3,4.5,0.00